# PBE GdYPt4, optimized geometry
# ΔE_f ... -1.094 eV per atom
# Calculated volume ... 454.7 Å³/cell
data_GdYPt4
_symmetry_space_group_name_H-M 'F -4 3 m'
_symmetry_Int_Tables_number 216
_symmetry_space_group_name_Hall 'F -4 2 3'
_cell_length_a 7.690
_cell_length_b 7.690
_cell_length_c 7.690
_cell_angle_alpha 90.00
_cell_angle_beta 90.00
_cell_angle_gamma 90.00
loop_
_atom_site_label
_atom_site_type_symbol
_atom_site_fract_x
_atom_site_fract_y
_atom_site_fract_z
Gd1 Gd 0.000 0.000 0.000
Y1 Y 0.250 0.250 0.250
Pt1 Pt 0.125 0.125 0.625

***

# PBE TmAgOs, optimized geometry
# ΔE_f ... 0.893 eV per atom
# Calculated volume ... 269.6 Å³/cell
data_TmAgOs
_symmetry_space_group_name_H-M 'F -4 3 m'
_symmetry_Int_Tables_number 216
_symmetry_space_group_name_Hall 'F -4 2 3'
_cell_length_a 6.460
_cell_length_b 6.460
_cell_length_c 6.460
_cell_angle_alpha 90.00
_cell_angle_beta 90.00
_cell_angle_gamma 90.00
loop_
_atom_site_label
_atom_site_type_symbol
_atom_site_fract_x
_atom_site_fract_y
_atom_site_fract_z
Tm1 Tm 0.000 0.000 0.000
Ag1 Ag 0.250 0.250 0.750
Os1 Os 0.250 0.250 0.250

***

# PBE LaMgSiIr, optimized geometry
# Total DFT energy (no corrections) ... -5.4656 eV per atom
# Calculated volume ... 326.7 Å³/cell
data_LaMgSiIr
_symmetry_space_group_name_H-M 'F -4 3 m'
_symmetry_Int_Tables_number 216
_symmetry_space_group_name_Hall 'F -4 2 3'
_cell_length_a 6.887
_cell_length_b 6.887
_cell_length_c 6.887
_cell_angle_alpha 90.00
_cell_angle_beta 90.00
_cell_angle_gamma 90.00
loop_
_atom_site_label
_atom_site_type_symbol
_atom_site_fract_x
_atom_site_fract_y
_atom_site_fract_z
La1 La 0.000 0.000 0.000
Mg1 Mg 0.000 0.000 0.500
Si1 Si 0.250 0.250 0.250
Ir1 Ir 0.250 0.250 0.750

***

> Look up the calculated volume of the first one.

454.7 Å³/cell

***

> What is the formula in the third record?

LaMgSiIr